No. 1
The following is a PBE-GGA calculation of a geometry-optimized Pm6Tl2Sn structure, from Alexandria.

Cell lengths 16.779, 7.494, 5.296 Å; angles 90.00, 108.32, 90.00 degrees
Space group C2/m (No. 12)
Symmetry-distinct sites (fractional):
1 Pm 0.000 0.250 0.000
2 Pm 0.167 0.250 0.667
3 Tl 0.166 0.000 0.166
4 Sn 0.000 0.500 0.500

Values from the calculation:
Energy, eV/cell: -77.68
Energy of formation, eV per formula unit: -1.600
Theoretical density, g cm⁻³: 7.34



No. 2
The following is a PBE-GGA calculation of a geometry-optimized Pm5Tl2Sn2 structure, from Alexandria.

Cell lengths 16.243, 8.293, 8.292 Å; angles 90.00, 90.00, 90.00 degrees
Space group Cmce (No. 64)
Symmetry-distinct sites (fractional):
1 Pm 0.000 0.000 0.000
2 Pm 0.135 0.180 0.327
3 Tl 0.212 0.000 0.000
4 Sn 0.000 0.127 0.630

Values from the calculation:
Energy, eV/cell: -165.64
Energy of formation, eV per formula unit: -4.919
Theoretical density, g cm⁻³: 8.15



No. 3
The following is a PBE-GGA calculation of a geometry-optimized Pm2TlSn structure, from Alexandria.

Cell lengths 5.112, 5.112, 4.392 Å; angles 90.00, 90.00, 90.00 degrees
Space group P4/mmm (No. 123)
Symmetry-distinct sites (fractional):
1 Pm 0.000 0.500 0.000
2 Tl 0.000 0.000 0.500
3 Sn 0.500 0.500 0.500

Values from the calculation:
Energy, eV/cell: -18.05
Energy of formation, eV per formula unit: -2.178
Theoretical density, g cm⁻³: 8.87



No. 4
The following is a PBE-GGA calculation of a geometry-optimized Pm2TlSn structure, from Alexandria.

Cell lengths 7.738, 7.738, 7.738 Å; angles 90.00, 90.00, 90.00 degrees
Space group Fm-3m (No. 225)
Symmetry-distinct sites (fractional):
1 Pm 0.250 0.250 0.250
2 Tl 0.000 0.000 0.000
3 Sn 0.000 0.000 0.500

Values from the calculation:
Energy, eV/cell: -71.58
Energy of formation, eV per formula unit: -2.025
Theoretical density, g cm⁻³: 8.79



No. 5
The following is a PBE-GGA calculation of a geometry-optimized Pm4TlSn4 structure, from Alexandria.

Cell lengths 10.366, 10.366, 6.305 Å; angles 90.00, 90.00, 90.00 degrees
Space group P4_2/n (No. 86, origin choice 2)
Symmetry-distinct sites (fractional):
1 Pm 0.114 0.629 0.138
2 Tl 0.250 0.250 0.250
3 Sn 0.063 0.584 0.650

Values from the calculation:
Energy, eV/cell: -80.93
Energy of formation, eV per formula unit: -3.084
Theoretical density, g cm⁻³: 6.17



No. 6
The following is a PBE-GGA calculation of a geometry-optimized PmTmTlSn structure, from Alexandria.

Cell lengths 7.622, 7.622, 7.622 Å; angles 90.00, 90.00, 90.00 degrees
Space group F-43m (No. 216)
Symmetry-distinct sites (fractional):
1 Pm 0.000 0.000 0.000
2 Tm 0.000 0.000 0.500
3 Tl 0.250 0.250 0.250
4 Sn 0.250 0.250 0.750

Values from the calculation:
Energy, eV/cell: -69.49
Energy of formation, eV per formula unit: -1.781
Theoretical density, g cm⁻³: 9.55



No. 7
The following is a PBE-GGA calculation of a geometry-optimized PmYTlSn structure, from Alexandria.

Cell lengths 7.664, 7.664, 7.664 Å; angles 90.00, 90.00, 90.00 degrees
Space group F-43m (No. 216)
Symmetry-distinct sites (fractional):
1 Pm 0.000 0.000 0.000
2 Y 0.000 0.000 0.500
3 Tl 0.250 0.250 0.250
4 Sn 0.250 0.250 0.750

Values from the calculation:
Energy, eV/cell: -78.21
Energy of formation, eV per formula unit: -1.969
Theoretical density, g cm⁻³: 8.22



No. 8
The following is a PBE-GGA calculation of a geometry-optimized PmYTlSn structure, from Alexandria.

Cell lengths 4.380, 4.618, 11.609 Å; angles 90.00, 90.00, 90.00 degrees
Space group Amm2 (No. 38)
Symmetry-distinct sites (fractional):
1 Pm 0.000 0.000 0.000
2 Y 0.500 0.000 0.729
3 Tl 0.500 0.000 0.456
4 Sn 0.000 0.000 0.275

Values from the calculation:
Energy, eV/cell: -39.77
Energy of formation, eV per formula unit: -2.300
Theoretical density, g cm⁻³: 7.88



No. 9
The following is a PBE-GGA calculation of a geometry-optimized PmTm4Sn4 structure, from Alexandria.

Cell lengths 9.799, 9.799, 6.056 Å; angles 90.00, 90.00, 90.00 degrees
Space group P4_2/n (No. 86, origin choice 2)
Symmetry-distinct sites (fractional):
1 Pm 0.250 0.250 0.250
2 Tm 0.099 0.646 0.143
3 Sn 0.039 0.610 0.654

Values from the calculation:
Energy, eV/cell: -84.33
Energy of formation, eV per formula unit: -3.518
Theoretical density, g cm⁻³: 7.40



No. 10
The following is a PBE-GGA calculation of a geometry-optimized Pm8TmSn6 structure, from Alexandria.

Cell lengths 9.2525, 9.2525, 19.7445 Å; angles 90.00, 90.00, 120.00 degrees
Space group R-3 (No. 148, hexagonal axes)
Symmetry-distinct sites (fractional):
1 Pm 0.0000 0.0000 0.1663
2 Pm 0.0008 0.3367 0.3960
3 Tm 0.0000 0.0000 0.5000
4 Sn 0.0004 0.3280 0.5671

Values from the calculation:
Energy, eV/cell: -224.70
Energy of formation, eV per formula unit: -8.408
Theoretical density, g cm⁻³: 6.95



No. 11
The following is a PBE-GGA calculation of a geometry-optimized PmTm6Sn structure, from Alexandria.

Cell lengths 6.907, 12.192, 6.677 Å; angles 90.00, 117.63, 90.00 degrees
Space group C2/m (No. 12)
Symmetry-distinct sites (fractional):
1 Pm 0.000 0.000 0.000
2 Tm 0.025 0.225 0.751
3 Tm 0.025 0.500 0.259
4 Sn 0.000 0.000 0.500

Values from the calculation:
Energy, eV/cell: -68.45
Energy of formation, eV per formula unit: 1.357
Theoretical density, g cm⁻³: 8.52



No. 12
The following is a PBE-GGA calculation of a geometry-optimized Pm2Tm3Sn structure, from Alexandria.

Cell lengths 4.824, 15.086, 4.883 Å; angles 90.00, 90.00, 90.00 degrees
Space group Cmmm (No. 65)
Symmetry-distinct sites (fractional):
1 Pm 0.000 0.160 0.000
2 Tm 0.000 0.000 0.500
3 Tm 0.000 0.335 0.500
4 Sn 0.000 0.500 0.000

Values from the calculation:
Energy, eV/cell: -56.77
Energy of formation, eV per formula unit: -1.467
Theoretical density, g cm⁻³: 8.55



No. 13
The following is a PBE-GGA calculation of a geometry-optimized Pm2Tm8Sn structure, from Alexandria.

Cell lengths 18.295, 6.675, 5.662 Å; angles 90.00, 92.73, 90.00 degrees
Space group C2/m (No. 12)
Symmetry-distinct sites (fractional):
1 Pm 0.222 0.000 0.257
2 Tm 0.052 0.000 0.227
3 Tm 0.121 0.241 0.738
4 Tm 0.169 0.500 0.229
5 Sn 0.000 0.500 0.000

Values from the calculation:
Energy, eV/cell: -98.11
Energy of formation, eV per formula unit: 0.222
Theoretical density, g cm⁻³: 8.46



No. 14
The following is a PBE-GGA calculation of a geometry-optimized PmTm4Sn structure, from Alexandria.

Cell lengths 5.416, 6.738, 9.634 Å; angles 90.00, 90.06, 90.00 degrees
Space group P2_1/m (No. 11)
Symmetry-distinct sites (fractional):
1 Pm 0.250 0.250 0.111
2 Tm 0.249 0.007 0.746
3 Tm 0.250 0.750 0.068
4 Tm 0.251 0.750 0.413
5 Sn 0.249 0.250 0.436

Values from the calculation:
Energy, eV/cell: -55.99
Energy of formation, eV per formula unit: -1.354
Theoretical density, g cm⁻³: 8.88



No. 15
The following is a PBE-GGA calculation of a geometry-optimized Pm6TmSn structure, from Alexandria.

Cell lengths 4.972, 4.972, 10.233 Å; angles 90.00, 90.00, 90.00 degrees
Space group P4/mmm (No. 123)
Symmetry-distinct sites (fractional):
1 Pm 0.000 0.000 0.000
2 Pm 0.000 0.000 0.500
3 Pm 0.000 0.500 0.242
4 Tm 0.500 0.500 0.500
5 Sn 0.500 0.500 0.000

Values from the calculation:
Energy, eV/cell: -38.56
Energy of formation, eV per formula unit: -1.586
Theoretical density, g cm⁻³: 7.60



No. 16
The following is a PBE-GGA calculation of a geometry-optimized Pm4Tm3Sn4 structure, from Alexandria.

Cell lengths 11.570, 4.756, 12.098 Å; angles 90.00, 90.00, 90.00 degrees
Space group Amm2 (No. 38)
Symmetry-distinct sites (fractional):
1 Pm 0.000 0.000 0.000
2 Pm 0.245 0.000 0.486
3 Pm 0.500 0.000 0.078
4 Tm 0.000 0.000 0.695
5 Tm 0.347 0.000 0.781
6 Sn 0.000 0.000 0.344
7 Sn 0.213 0.000 0.168
8 Sn 0.500 0.000 0.377

Values from the calculation:
Energy, eV/cell: -107.54
Energy of formation, eV per formula unit: -5.343
Theoretical density, g cm⁻³: 7.79



No. 17
The following is a PBE-GGA calculation of a geometry-optimized Pm12Tm2Sn5 structure, from Alexandria.

Cell lengths 16.028, 8.445, 9.374 Å; angles 90.00, 93.09, 90.00 degrees
Space group C2/m (No. 12)
Symmetry-distinct sites (fractional):
1 Pm 0.032 0.000 0.173
2 Pm 0.058 0.500 0.663
3 Pm 0.138 0.239 0.919
4 Pm 0.173 0.270 0.351
5 Tm 0.000 0.170 0.500
6 Sn 0.000 0.500 0.000
7 Sn 0.161 0.000 0.634
8 Sn 0.231 0.000 0.147

Values from the calculation:
Energy, eV/cell: -179.63
Energy of formation, eV per formula unit: -3.850
Theoretical density, g cm⁻³: 7.00



No. 18
The following is a PBE-GGA calculation of a geometry-optimized Pm5TmSn6 structure, from Alexandria.

Cell lengths 5.853, 14.374, 8.584 Å; angles 90.00, 102.18, 90.00 degrees
Space group C2/m (No. 12)
Symmetry-distinct sites (fractional):
1 Pm 0.000 0.000 0.000
2 Pm 0.000 0.328 0.000
3 Pm 0.000 0.338 0.500
4 Tm 0.000 0.000 0.500
5 Sn 0.008 0.164 0.743
6 Sn 0.029 0.500 0.245

Values from the calculation:
Energy, eV/cell: -119.81
Energy of formation, eV per formula unit: -7.663
Theoretical density, g cm⁻³: 7.56



No. 19
The following is a PBE-GGA calculation of a geometry-optimized Pm7TmSn5 structure, from Alexandria.

Cell lengths 6.534, 11.113, 10.906 Å; angles 90.00, 90.00, 90.00 degrees
Space group Imm2 (No. 44)
Symmetry-distinct sites (fractional):
1 Pm 0.000 0.000 0.000
2 Pm 0.000 0.000 0.346
3 Pm 0.000 0.328 0.585
4 Pm 0.000 0.335 0.075
5 Pm 0.000 0.500 0.332
6 Tm 0.000 0.000 0.680
7 Sn 0.000 0.500 0.827
8 Sn 0.236 0.235 0.831

Values from the calculation:
Energy, eV/cell: -127.57
Energy of formation, eV per formula unit: -6.043
Theoretical density, g cm⁻³: 7.45



No. 20
The following is a PBE-GGA calculation of a geometry-optimized Pm5Tm4Sn2 structure, from Alexandria.

Cell lengths 5.2419, 5.2419, 46.5230 Å; angles 90.00, 90.00, 120.00 degrees
Space group R-3m (No. 166, hexagonal axes)
Symmetry-distinct sites (fractional):
1 Pm 0.0000 0.0000 0.0000
2 Pm 0.0000 0.0000 0.1475
3 Pm 0.0000 0.0000 0.3041
4 Tm 0.0000 0.0000 0.0726
5 Tm 0.0000 0.0000 0.2268
6 Sn 0.0000 0.0000 0.3837

Values from the calculation:
Energy, eV/cell: -144.96
Energy of formation, eV per formula unit: 1.323
Theoretical density, g cm⁻³: 7.37



No. 21
The following is a PBE-GGA calculation of a geometry-optimized Pm2TmSn3 structure, from Alexandria.

Cell lengths 8.463, 15.597, 6.161 Å; angles 90.00, 121.34, 90.00 degrees
Space group C2/c (No. 15)
Symmetry-distinct sites (fractional):
1 Pm 0.000 0.076 0.250
2 Pm 0.000 0.235 0.750
3 Tm 0.000 0.408 0.250
4 Sn 0.216 0.419 0.952
5 Sn 0.250 0.250 0.500

Values from the calculation:
Energy, eV/cell: -118.79
Energy of formation, eV per formula unit: -3.715
Theoretical density, g cm⁻³: 7.79



No. 22
The following is a PBE-GGA calculation of a geometry-optimized Pm4TmSn2 structure, from Alexandria.

Cell lengths 5.4477, 5.4477, 27.9933 Å; angles 90.00, 90.00, 120.00 degrees
Space group R-3m (No. 166, hexagonal axes)
Symmetry-distinct sites (fractional):
1 Pm 0.0000 0.0000 0.1245
2 Pm 0.0000 0.0000 0.2804
3 Tm 0.0000 0.0000 0.5000
4 Sn 0.0000 0.0000 0.3936

Values from the calculation:
Energy, eV/cell: -99.85
Energy of formation, eV per formula unit: -1.804
Theoretical density, g cm⁻³: 6.83



Asked for calculated volume across the records above, the calculation gives 316.08; 279.24; 114.77; 115.83; 338.79; 110.71; 112.54; 117.41; 290.73; 487.95; 249.06; 177.72; 345.32; 175.77; 252.97; 332.83; 633.53; 353.01; 395.98; 369.02; 173.66; 239.82 Å³/f.u. in order.